(1)
Here is crystalline TbPa2NbC4 at its relaxed geometry from Alexandria. Energies are from PBE-GGA.

POSCAR file:
```
TbPa2NbC4
1.0
-3.466 3.517 4.949
3.466 -3.517 4.949
3.466 3.517 -4.949
Tb Pa Nb C
2 4 2 8
Direct
0.000 0.000 0.000 Tb
0.500 0.000 0.500 Tb
0.000 0.500 0.500 Pa
0.500 0.000 0.000 Pa
0.500 0.500 0.000 Pa
0.500 0.500 0.500 Pa
0.000 0.000 0.500 Nb
0.000 0.500 0.000 Nb
0.232 0.747 0.485 C
0.237 0.253 0.985 C
0.240 0.252 0.511 C
0.240 0.729 0.989 C
0.760 0.271 0.011 C
0.760 0.748 0.489 C
0.763 0.747 0.015 C
0.768 0.253 0.515 C
```

Summary:
space group	Imma, No. 74

---

(2)
Here is crystalline TbB6Ir12 at its relaxed geometry from Alexandria. Energies are from PBE-GGA.

POSCAR file:
```
TbB6Ir12
1.0
5.162 2.980 2.709
-5.162 2.980 2.709
0.000 -5.961 2.709
Tb B Ir
1 6 12
Direct
0.000 0.000 0.000 Tb
0.231 0.231 0.667 B
0.231 0.667 0.231 B
0.333 0.769 0.769 B
0.667 0.231 0.231 B
0.769 0.333 0.769 B
0.769 0.769 0.333 B
0.135 0.500 0.865 Ir
0.135 0.865 0.500 Ir
0.184 0.445 0.445 Ir
0.445 0.184 0.445 Ir
0.445 0.445 0.184 Ir
0.500 0.135 0.865 Ir
0.500 0.865 0.135 Ir
0.555 0.555 0.816 Ir
0.555 0.816 0.555 Ir
0.816 0.555 0.555 Ir
0.865 0.135 0.500 Ir
0.865 0.500 0.135 Ir
```

Summary:
space group	R-3m, No. 166

---

Summary of DOS at the Fermi energy in states/eV per cell
9.873, 13.860
(order as listed above)
Summary of electronic total energy in Ry per atom
-0.678, -0.603
(order as listed above)